VASP calculation (PBE with a Hubbard U) on an optimized crystal structure of Ca2GaWO6.

## Properties
- Total DFT energy (no corrections): -67.12 eV/cell
- Volume: 137.7 Å³ per cell
- Mass density: 5.18 g cm⁻³

a b c (Å): 4.9363 5.2810 5.2810
angles (deg): 90.00 90.00 90.00
Site moments in Bohr magnetons follow the coordinates.
Atoms (fractional coordinates):
Ca  0.0053  0.5000  0.0000  0.01
Ca  0.0053  0.0000  0.5000  0.01
Ga  0.5790  0.0000  0.0000  0.00
W  0.5754  0.5000  0.5000  0.96
O  0.7172  0.2512  0.2512  0.02
O  0.7172  0.2512  0.7488  0.02
O  0.2042  0.5000  0.5000  -0.03
O  0.2086  0.0000  0.0000  0.00
O  0.7172  0.7488  0.7488  0.02
O  0.7172  0.7488  0.2512  0.02